! PBE-GGA Rb2Tb2USe6, relaxed; values from VASP
! formation energy (no corrections) = -1.59 eV per atom
! N(E_F) = 0.6292 states/eV per atom
&SYSTEM
  ibrav = 0, nat = 11, ntyp = 4
/
ATOMIC_SPECIES
Se 78.96 Se.upf
U 238.03 U.upf
Rb 85.47 Rb.upf
Tb 158.93 Tb.upf
ATOMIC_POSITIONS crystal
Se 0.737 0.737 0.691
Se 0.065 0.393 0.692
U 0.000 0.000 0.500
Se 0.607 0.935 0.308
Rb 0.169 0.831 0.000
Se 0.393 0.065 0.692
Se 0.935 0.607 0.308
Tb 0.333 0.667 0.500
Se 0.263 0.263 0.309
Rb 0.831 0.169 0.000
Tb 0.667 0.333 0.500
CELL_PARAMETERS angstrom
7.263 -0.014 0.061
-3.602 6.306 0.061
-1.308 -2.248 8.149